[1]
Entry from Alexandria via LeMat-Bulk: crystalline AlNiTe at its relaxed geometry (PBE).

M_tot ... 0.0000 μB/atom
DFT total energy ... -52.65 eV for the cell shown
Raw formation energy ... -0.166 eV per atom
Polymorph energy (0 for the lowest one) ... 0.302 eV per atom

The structure in CIF format:
```
data_AlNiTe
_chemical_formula_sum 'Al4 Ni4 Te4'
_space_group_name_H-M_alt 'F -4 3 m'
_space_group_IT_number 216
_space_group_name_Hall 'F -4 2 3'
_cell_length_a 6.107
_cell_length_b 6.107
_cell_length_c 6.107
_cell_angle_alpha 90.00
_cell_angle_beta 90.00
_cell_angle_gamma 90.00
loop_
_atom_site_label
_atom_site_type_symbol
_atom_site_fract_x
_atom_site_fract_y
_atom_site_fract_z
_atom_site_occupancy
Al1 Al 0.000 0.000 0.000 1
Ni1 Ni 0.250 0.250 0.250 1
Te1 Te 0.000 0.000 0.500 1
```

[2]
Entry from Alexandria via LeMat-Bulk: crystalline Al2NiTe at its relaxed geometry (PBE).

M_tot ... 0.0000 μB/atom
DFT total energy ... -49.54 eV for the cell shown
Raw formation energy ... -0.026 eV per atom

The structure in CIF format:
```
data_Al2NiTe
_chemical_formula_sum 'Al6 Ni3 Te3'
_space_group_name_H-M_alt 'R -3 m'
_space_group_IT_number 166
_space_group_name_Hall '-R 3 2"'
_cell_length_a 3.3328
_cell_length_b 3.3328
_cell_length_c 23.1022
_cell_angle_alpha 90.00
_cell_angle_beta 90.00
_cell_angle_gamma 120.00
loop_
_atom_site_label
_atom_site_type_symbol
_atom_site_fract_x
_atom_site_fract_y
_atom_site_fract_z
_atom_site_occupancy
Al1 Al 0.0000 0.0000 0.2306 1
Ni1 Ni 0.0000 0.0000 0.5000 1
Te1 Te 0.0000 0.0000 0.0000 1
```

[3]
Entry from Alexandria via LeMat-Bulk: crystalline AlNi3Te at its relaxed geometry (PBE).

M_tot ... 0.0001 μB/atom
DFT total energy ... -20.52 eV for the cell shown
Raw formation energy ... 0.741 eV per atom
Polymorph energy (0 for the lowest one) ... 0.255 eV per atom

The structure in CIF format:
```
data_AlNi3Te
_chemical_formula_sum 'Al1 Ni3 Te1'
_space_group_name_H-M_alt 'P m -3 m'
_space_group_IT_number 221
_space_group_name_Hall '-P 4 2 3'
_cell_length_a 4.624
_cell_length_b 4.624
_cell_length_c 4.624
_cell_angle_alpha 90.00
_cell_angle_beta 90.00
_cell_angle_gamma 90.00
loop_
_atom_site_label
_atom_site_type_symbol
_atom_site_fract_x
_atom_site_fract_y
_atom_site_fract_z
_atom_site_occupancy
Al1 Al 0.000 0.000 0.000 1
Ni1 Ni 0.000 0.500 0.500 1
Te1 Te 0.500 0.500 0.500 1
```

[4]
Entry from Alexandria via LeMat-Bulk: crystalline AlNiTe at its relaxed geometry (PBE).

M_tot ... 0.0000 μB/atom
DFT total energy ... -27.38 eV for the cell shown
Raw formation energy ... -0.342 eV per atom
Polymorph energy (0 for the lowest one) ... 0.126 eV per atom

The structure in CIF format:
```
data_AlNiTe
_chemical_formula_sum 'Al2 Ni2 Te2'
_space_group_name_H-M_alt 'P 3 m 1'
_space_group_IT_number 156
_cell_length_a 3.8895
_cell_length_b 3.8895
_cell_length_c 9.4690
_cell_angle_alpha 90.00
_cell_angle_beta 90.00
_cell_angle_gamma 120.00
loop_
_space_group_symop_operation_xyz
'x,y,z'
'-y,x-y,z'
'-x+y,-x,z'
'-y,-x,z'
'-x+y,y,z'
'x,x-y,z'
loop_
_atom_site_label
_atom_site_type_symbol
_atom_site_fract_x
_atom_site_fract_y
_atom_site_fract_z
_atom_site_occupancy
Al1 Al 0.0000 0.0000 0.0000 1
Al2 Al 0.3333 0.6667 0.2246 1
Ni1 Ni 0.6667 0.3333 0.1275 1
Ni2 Ni 0.6667 0.3333 0.8733 1
Te1 Te 0.3333 0.6667 0.7535 1
Te2 Te 0.6667 0.3333 0.3958 1
```

[5]
Entry from Alexandria via LeMat-Bulk: crystalline Al2NiTe at its relaxed geometry (PBE).

M_tot ... 0.0000 μB/atom
DFT total energy ... -16.26 eV for the cell shown
Raw formation energy ... 0.038 eV per atom

The structure in CIF format:
```
data_Al2NiTe
_chemical_formula_sum 'Al2 Ni1 Te1'
_space_group_name_H-M_alt 'P 1 2/m 1'
_space_group_IT_number 10
_cell_length_a 4.090
_cell_length_b 3.664
_cell_length_c 5.280
_cell_angle_alpha 90.00
_cell_angle_beta 109.27
_cell_angle_gamma 90.00
loop_
_space_group_symop_operation_xyz
'x,y,z'
'-x,-y,-z'
'-x,y,-z'
'x,-y,z'
loop_
_atom_site_label
_atom_site_type_symbol
_atom_site_fract_x
_atom_site_fract_y
_atom_site_fract_z
_atom_site_occupancy
Al1 Al 0.102 0.000 0.279 1
Ni1 Ni 0.500 0.500 0.500 1
Te1 Te 0.500 0.500 0.000 1
```

[6]
Entry from Alexandria via LeMat-Bulk: crystalline AlNiTe at its relaxed geometry (PBE).

M_tot ... 0.0000 μB/atom
DFT total energy ... -25.42 eV for the cell shown
Raw formation energy ... -0.015 eV per atom
Polymorph energy (0 for the lowest one) ... 0.452 eV per atom

The structure in CIF format:
```
data_AlNiTe
_chemical_formula_sum 'Al2 Ni2 Te2'
_space_group_name_H-M_alt 'P -6 m 2'
_space_group_IT_number 187
_space_group_name_Hall 'P -6 2'
_cell_length_a 3.4443
_cell_length_b 3.4443
_cell_length_c 11.0006
_cell_angle_alpha 90.00
_cell_angle_beta 90.00
_cell_angle_gamma 120.00
loop_
_atom_site_label
_atom_site_type_symbol
_atom_site_fract_x
_atom_site_fract_y
_atom_site_fract_z
_atom_site_occupancy
Al1 Al 0.0000 0.0000 0.1311 1
Ni1 Ni 0.3333 0.6667 0.0000 1
Ni2 Ni 0.3333 0.6667 0.5000 1
Te1 Te 0.6667 0.3333 0.3460 1
```

[7]
Entry from Alexandria via LeMat-Bulk: crystalline AlNiTe at its relaxed geometry (PBE).

M_tot ... 0.0000 μB/atom
DFT total energy ... -27.04 eV for the cell shown
Raw formation energy ... -0.285 eV per atom
Polymorph energy (0 for the lowest one) ... 0.182 eV per atom

The structure in CIF format:
```
data_AlNiTe
_chemical_formula_sum 'Al2 Ni2 Te2'
_space_group_name_H-M_alt 'P 1 21/m 1'
_space_group_IT_number 11
_cell_length_a 4.844
_cell_length_b 3.962
_cell_length_c 7.109
_cell_angle_alpha 90.00
_cell_angle_beta 110.02
_cell_angle_gamma 90.00
loop_
_space_group_symop_operation_xyz
'x,y,z'
'-x,-y,-z'
'-x,y+1/2,-z'
'x,-y+1/2,z'
loop_
_atom_site_label
_atom_site_type_symbol
_atom_site_fract_x
_atom_site_fract_y
_atom_site_fract_z
_atom_site_occupancy
Al1 Al 0.191 0.250 0.091 1
Ni1 Ni 0.313 0.750 0.930 1
Te1 Te 0.322 0.250 0.695 1
```

[8]
Entry from Alexandria via LeMat-Bulk: crystalline Al2NiTe at its relaxed geometry (PBE).

M_tot ... 0.0000 μB/atom
DFT total energy ... -31.50 eV for the cell shown
Raw formation energy ... 0.165 eV per atom

The structure in CIF format:
```
data_Al2NiTe
_chemical_formula_sum 'Al4 Ni2 Te2'
_space_group_name_H-M_alt 'C m m m'
_space_group_IT_number 65
_space_group_name_Hall '-C 2 2'
_cell_length_a 5.297
_cell_length_b 7.686
_cell_length_c 3.512
_cell_angle_alpha 90.00
_cell_angle_beta 90.00
_cell_angle_gamma 90.00
loop_
_atom_site_label
_atom_site_type_symbol
_atom_site_fract_x
_atom_site_fract_y
_atom_site_fract_z
_atom_site_occupancy
Al1 Al 0.250 0.250 0.000 1
Ni1 Ni 0.000 0.000 0.500 1
Te1 Te 0.000 0.500 0.500 1
```

Q: DFT total energy of number 4 (AlNiTe)?
A: -27.38 eV for the cell shown

Q: What is the raw formation energy in the third record?
A: 0.741 eV per atom

Q: Which formula does entry 2 have?
A: Al2NiTe

Q: Which of these has the highest DFT total energy?
A: number 5